No. 1
Below is an optimized crystal structure of Li2LaIn2Hg, with properties calculated at the PBE level.

```
data_Li2LaIn2Hg
_space_group_name_H-M_alt 'P 4/m m m'
_space_group_IT_number 123
_space_group_name_Hall '-P 4 2'
_cell_length_a 4.846
_cell_length_b 4.846
_cell_length_c 6.351
_cell_angle_alpha 90.00
_cell_angle_beta 90.00
_cell_angle_gamma 90.00
loop_
_atom_site_label
_atom_site_type_symbol
_atom_site_fract_x
_atom_site_fract_y
_atom_site_fract_z
Li1 Li 0.000 0.500 0.000
La1 La 0.000 0.000 0.500
In1 In 0.500 0.500 0.270
Hg1 Hg 0.000 0.000 0.000
```

Summary:
- VASP energy (eV/atom) = -2.6681

=====

No. 2
Below is an optimized crystal structure of Pu2ZnGa3Cu4, with properties calculated at the PBE level.

```
data_Pu2ZnGa3Cu4
_space_group_name_H-M_alt 'P -4 m 2'
_space_group_IT_number 115
_space_group_name_Hall 'P -4 -2'
_cell_length_a 4.150
_cell_length_b 4.150
_cell_length_c 10.202
_cell_angle_alpha 90.00
_cell_angle_beta 90.00
_cell_angle_gamma 90.00
loop_
_atom_site_label
_atom_site_type_symbol
_atom_site_fract_x
_atom_site_fract_y
_atom_site_fract_z
Pu1 Pu 0.000 0.500 0.247
Zn1 Zn 0.000 0.000 0.500
Ga1 Ga 0.000 0.500 0.869
Ga2 Ga 0.500 0.500 0.500
Cu1 Cu 0.000 0.000 0.000
Cu2 Cu 0.000 0.500 0.634
Cu3 Cu 0.500 0.500 0.000
```

Summary:
- VASP energy (eV/atom) = -5.7259

=====

No. 3
Below is an optimized crystal structure of Tb12HoIn3, with properties calculated at the PBE level.

```
data_Tb12HoIn3
_space_group_name_H-M_alt 'P 4/m m m'
_space_group_IT_number 123
_space_group_name_Hall '-P 4 2'
_cell_length_a 4.875
_cell_length_b 4.875
_cell_length_c 19.847
_cell_angle_alpha 90.00
_cell_angle_beta 90.00
_cell_angle_gamma 90.00
loop_
_atom_site_label
_atom_site_type_symbol
_atom_site_fract_x
_atom_site_fract_y
_atom_site_fract_z
Tb1 Tb 0.000 0.000 0.000
Tb2 Tb 0.000 0.000 0.246
Tb3 Tb 0.000 0.000 0.500
Tb4 Tb 0.000 0.500 0.123
Tb5 Tb 0.000 0.500 0.370
Ho1 Ho 0.500 0.500 0.500
In1 In 0.500 0.500 0.000
In2 In 0.500 0.500 0.244
```

Summary:
- VASP energy (eV/atom) = -4.4664

=====

No. 4
Below is an optimized crystal structure of LaZrIr2, with properties calculated at the PBE level.

```
data_LaZrIr2
_space_group_name_H-M_alt 'C 1 2/m 1'
_space_group_IT_number 12
_space_group_name_Hall '-C 2y'
_cell_length_a 7.722
_cell_length_b 4.451
_cell_length_c 5.806
_cell_angle_alpha 90.00
_cell_angle_beta 116.42
_cell_angle_gamma 90.00
loop_
_atom_site_label
_atom_site_type_symbol
_atom_site_fract_x
_atom_site_fract_y
_atom_site_fract_z
La1 La 0.000 0.000 0.000
Zr1 Zr 0.000 0.500 0.500
Ir1 Ir 0.221 0.000 0.663
```

Summary:
- VASP energy (eV/atom) = -8.4079

=====

No. 5
Below is an optimized crystal structure of Ac3InPd2O9, with properties calculated at the PBE level.

```
data_Ac3InPd2O9
_space_group_name_H-M_alt 'P -3 m 1'
_space_group_IT_number 164
_space_group_name_Hall '-P 3 2"'
_cell_length_a 5.8360
_cell_length_b 5.8360
_cell_length_c 7.2433
_cell_angle_alpha 90.00
_cell_angle_beta 90.00
_cell_angle_gamma 120.00
loop_
_atom_site_label
_atom_site_type_symbol
_atom_site_fract_x
_atom_site_fract_y
_atom_site_fract_z
Ac1 Ac 0.0000 0.0000 0.0000
Ac2 Ac 0.3333 0.6667 0.6975
In1 In 0.0000 0.0000 0.5000
Pd1 Pd 0.3333 0.6667 0.1669
O1 O 0.0000 0.5000 0.0000
O2 O 0.1640 0.3281 0.3204
```

Summary:
- ΔE_f (raw) (meV/atom) = -1959
- VASP energy (eV/atom) = -6.6302

=====

No. 6
Below is an optimized crystal structure of AgIrBr2, with properties calculated at the PBE level.

```
data_AgIrBr2
_space_group_name_H-M_alt 'A m m 2'
_space_group_IT_number 38
_space_group_name_Hall 'A 2 -2'
_cell_length_a 3.784
_cell_length_b 5.153
_cell_length_c 9.696
_cell_angle_alpha 90.00
_cell_angle_beta 90.00
_cell_angle_gamma 90.00
loop_
_atom_site_label
_atom_site_type_symbol
_atom_site_fract_x
_atom_site_fract_y
_atom_site_fract_z
Ag1 Ag 0.000 0.000 0.000
Ir1 Ir 0.500 0.000 0.797
Br1 Br 0.000 0.000 0.636
Br2 Br 0.500 0.000 0.258
```

Summary:
- ΔE_f (raw) (meV/atom) = 357
- VASP energy (eV/atom) = -3.4078

=====

No. 7
Below is an optimized crystal structure of Al2ZnBr, with properties calculated at the PBE level.

```
data_Al2ZnBr
_space_group_name_H-M_alt 'I m m 2'
_space_group_IT_number 44
_space_group_name_Hall 'I 2 -2'
_cell_length_a 3.215
_cell_length_b 5.037
_cell_length_c 10.133
_cell_angle_alpha 90.00
_cell_angle_beta 90.00
_cell_angle_gamma 90.00
loop_
_atom_site_label
_atom_site_type_symbol
_atom_site_fract_x
_atom_site_fract_y
_atom_site_fract_z
Al1 Al 0.000 0.000 0.000
Al2 Al 0.000 0.500 0.263
Zn1 Zn 0.000 0.500 0.720
Br1 Br 0.000 0.000 0.483
```

Summary:
- ΔE_f (raw) (meV/atom) = 160
- VASP energy (eV/atom) = -2.4475

=====

No. 8
Below is an optimized crystal structure of SmTlPt, with properties calculated at the PBE level.

```
data_SmTlPt
_space_group_name_H-M_alt 'P 4/n m m'
_space_group_IT_number 129
_cell_length_a 4.270
_cell_length_b 4.270
_cell_length_c 8.145
_cell_angle_alpha 90.00
_cell_angle_beta 90.00
_cell_angle_gamma 90.00
loop_
_space_group_symop_operation_xyz
'x,y,z'
'-x,-y,-z'
'-y+1/2,x,z'
'y+1/2,-x,-z'
'-x+1/2,-y+1/2,z'
'x+1/2,y+1/2,-z'
'y,-x+1/2,z'
'-y,x+1/2,-z'
'x+1/2,-y,-z'
'-x+1/2,y,z'
'-y,-x,-z'
'y,x,z'
'-x,y+1/2,-z'
'x,-y+1/2,z'
'y+1/2,x+1/2,-z'
'-y+1/2,-x+1/2,z'
loop_
_atom_site_label
_atom_site_type_symbol
_atom_site_fract_x
_atom_site_fract_y
_atom_site_fract_z
Sm1 Sm 0.250 0.250 0.145
Tl1 Tl 0.250 0.750 0.500
Pt1 Pt 0.250 0.250 0.791
```

Summary:
- VASP energy (eV/atom) = -5.0753

=====

No. 9
Below is an optimized crystal structure of P3C, with properties calculated at the PBE level.

```
data_P3C
_space_group_name_H-M_alt 'I m m m'
_space_group_IT_number 71
_space_group_name_Hall '-I 2 2'
_cell_length_a 2.702
_cell_length_b 4.495
_cell_length_c 9.785
_cell_angle_alpha 90.00
_cell_angle_beta 90.00
_cell_angle_gamma 90.00
loop_
_atom_site_label
_atom_site_type_symbol
_atom_site_fract_x
_atom_site_fract_y
_atom_site_fract_z
P1 P 0.000 0.000 0.000
P2 P 0.000 0.500 0.138
C1 C 0.000 0.000 0.500
```

Summary:
- VASP energy (eV/atom) = -5.1969

=====

No. 10
Below is an optimized crystal structure of CaEuZn2, with properties calculated at the PBE level.

```
data_CaEuZn2
_space_group_name_H-M_alt 'P 4/m m m'
_space_group_IT_number 123
_space_group_name_Hall '-P 4 2'
_cell_length_a 5.293
_cell_length_b 5.293
_cell_length_c 3.654
_cell_angle_alpha 90.00
_cell_angle_beta 90.00
_cell_angle_gamma 90.00
loop_
_atom_site_label
_atom_site_type_symbol
_atom_site_fract_x
_atom_site_fract_y
_atom_site_fract_z
Ca1 Ca 0.000 0.000 0.000
Eu1 Eu 0.500 0.500 0.000
Zn1 Zn 0.000 0.500 0.500
```

Summary:
- VASP energy (eV/atom) = -3.9578

=====

No. 11
Below is an optimized crystal structure of Nd2ErTm9, with properties calculated at the PBE level.

```
data_Nd2ErTm9
_space_group_name_H-M_alt 'P 6/m m m'
_space_group_IT_number 191
_space_group_name_Hall '-P 6 2'
_cell_length_a 11.1377
_cell_length_b 11.1377
_cell_length_c 3.4731
_cell_angle_alpha 90.00
_cell_angle_beta 90.00
_cell_angle_gamma 120.00
loop_
_atom_site_label
_atom_site_type_symbol
_atom_site_fract_x
_atom_site_fract_y
_atom_site_fract_z
Nd1 Nd 0.3333 0.6667 0.0000
Er1 Er 0.0000 0.0000 0.0000
Tm1 Tm 0.0000 0.5000 0.0000
Tm2 Tm 0.1739 0.3478 0.5000
```

Summary:
- VASP energy (eV/atom) = -4.4496

=====

No. 12
Below is an optimized crystal structure of CrCd, with properties calculated at the PBE level.

```
data_CrCd
_space_group_name_H-M_alt 'F -4 3 m'
_space_group_IT_number 216
_space_group_name_Hall 'F -4 2 3'
_cell_length_a 6.351
_cell_length_b 6.351
_cell_length_c 6.351
_cell_angle_alpha 90.00
_cell_angle_beta 90.00
_cell_angle_gamma 90.00
loop_
_atom_site_label
_atom_site_type_symbol
_atom_site_fract_x
_atom_site_fract_y
_atom_site_fract_z
Cr1 Cr 0.000 0.000 0.000
Cd1 Cd 0.250 0.250 0.250
```

Summary:
- VASP energy (eV/atom) = -3.8810

=====

Among the records above, which one has the lowest VASP energy? LaZrIr2

=====

Repeat the third record exactly.
Below is an optimized crystal structure of Tb12HoIn3, with properties calculated at the PBE level.

```
data_Tb12HoIn3
_space_group_name_H-M_alt 'P 4/m m m'
_space_group_IT_number 123
_space_group_name_Hall '-P 4 2'
_cell_length_a 4.875
_cell_length_b 4.875
_cell_length_c 19.847
_cell_angle_alpha 90.00
_cell_angle_beta 90.00
_cell_angle_gamma 90.00
loop_
_atom_site_label
_atom_site_type_symbol
_atom_site_fract_x
_atom_site_fract_y
_atom_site_fract_z
Tb1 Tb 0.000 0.000 0.000
Tb2 Tb 0.000 0.000 0.246
Tb3 Tb 0.000 0.000 0.500
Tb4 Tb 0.000 0.500 0.123
Tb5 Tb 0.000 0.500 0.370
Ho1 Ho 0.500 0.500 0.500
In1 In 0.500 0.500 0.000
In2 In 0.500 0.500 0.244
```

Summary:
- VASP energy (eV/atom) = -4.4664

=====

Among the records above, which one has the highest VASP energy? Al2ZnBr